Tb2HoZn9: optimized geometry, PBE-GGA.

Lattice parameters (Å, degrees): 9.1379 9.1379 9.1379 34.63 34.63 34.63
Sites, in units of the cell vectors:
Tb: 0.1395 0.1395 0.1395
Tb: 0.8605 0.8605 0.8605
Ho: 0.0000 0.0000 0.0000
Zn: 0.0766 0.5847 0.5847
Zn: 0.3348 0.3348 0.3348
Zn: 0.4153 0.4153 0.9234
Zn: 0.4153 0.9234 0.4153
Zn: 0.5000 0.5000 0.5000
Zn: 0.5847 0.0766 0.5847
Zn: 0.5847 0.5847 0.0766
Zn: 0.6652 0.6652 0.6652
Zn: 0.9234 0.4153 0.4153

Computed properties:
**Final energy**: -2.417 eV per atom
**Magnetization**: 0.0000 μB/atom